Ca2FeCSe after structural relaxation, computed with PBE.

The structure in POSCAR format:
```
Ca2FeCSe
1.0
5.118 0.000 0.000
0.000 5.118 0.000
0.000 0.000 3.710
Ca Fe C Se
2 1 1 1
direct
0.000 0.500 0.000
0.500 0.000 0.000
0.000 0.000 0.500
0.000 0.000 0.000
0.500 0.500 0.500
```

Properties
Crystal system: tetragonal
Formation energy (no corrections) (meV/atom): -505.0

***

Ca2TlFeC after structural relaxation, computed with PBE.

The structure in POSCAR format:
```
Ca2TlFeC
1.0
5.213 0.000 0.000
0.000 5.213 0.000
0.000 0.000 3.737
Ca Tl Fe C
2 1 1 1
direct
0.000 0.500 0.000
0.500 0.000 0.000
0.000 0.000 0.500
0.500 0.500 0.500
0.500 0.500 0.000
```

Properties
Crystal system: tetragonal
Energy relative to the elements (eV per atom): -0.02

***

Ca2ZnFeC after structural relaxation, computed with PBE.

The structure in POSCAR format:
```
Ca2ZnFeC
1.0
5.358 0.000 0.000
0.000 5.358 0.000
0.000 0.000 3.686
Ca Zn Fe C
2 1 1 1
direct
0.000 0.500 0.000
0.500 0.000 0.000
0.000 0.000 0.500
0.500 0.500 0.000
0.500 0.500 0.500
```

Properties
Crystal system: tetragonal
Energy relative to the elements (eV per atom): 0.43
Polymorph energy (0 for the lowest one) (meV per atom): 406

***

CaZnFeC after structural relaxation, computed with PBE.

The structure in POSCAR format:
```
CaZnFeC
1.0
3.520 0.000 0.000
0.000 3.520 0.000
0.000 0.000 10.285
Ca Zn Fe C
2 2 2 2
direct
0.250 0.250 0.227
0.750 0.750 0.773
0.250 0.750 0.500
0.750 0.250 0.500
0.250 0.750 0.000
0.750 0.250 0.000
0.250 0.250 0.921
0.750 0.750 0.079
```

Properties
Crystal system: tetragonal
Energy relative to the elements (eV per atom): -0.08

***

Ca2ZnFeC after structural relaxation, computed with PBE.

The structure in POSCAR format:
```
Ca2ZnFeC
1.0
5.130 0.000 0.000
0.000 5.130 0.000
0.000 0.000 3.683
Ca Zn Fe C
2 1 1 1
direct
0.000 0.500 0.000
0.500 0.000 0.000
0.000 0.000 0.500
0.500 0.500 0.500
0.500 0.500 0.000
```

Properties
Crystal system: tetragonal
Energy relative to the elements (eV per atom): 0.02
Polymorph energy (0 for the lowest one) (meV per atom): 0

***

CaGa2C after structural relaxation, computed with PBE.

The structure in POSCAR format:
```
CaGa2C
1.0
-3.619 3.619 2.579
3.619 -3.619 2.579
3.619 3.619 -2.579
Ca Ga C
2 4 2
direct
0.000 0.000 0.000
0.750 0.250 0.500
0.221 0.625 0.096
0.375 0.471 0.596
0.529 0.125 0.904
0.875 0.779 0.404
0.250 0.750 0.500
0.500 0.500 0.000
```

Properties
Crystal system: tetragonal
Energy relative to the elements (eV per atom): 0.24

***

| no. | ρ (Mg/m³) | VASP energy (Ry per atom) |
| --- | --- | --- |
| 1 | 3.9 | -0.407 |
| 2 | 5.8 | -0.355 |
| 3 | 3.3 | -0.306 |
| 4 | 4.5 | -0.391 |
| 5 | 3.7 | -0.336 |
| 6 | 4.7 | -0.300 |